[1]
A relaxed structure of K2GeTe4Au, computed with GGA-PBE.

## Properties
SG ... Fddd
DOS at the Fermi energy ... 0.16 states/eV per atom
Energy relative to the elements, uncorrected ... -9.60 kcal/mol of atoms
Total magnetic moment ... 0.00 μB per cell

Cell and atoms, written as POSCAR:
```
K2GeTe4Au
1.0
0.000 7.515 11.214
3.684 0.000 11.214
3.684 7.515 0.000
K Ge Te Au
4 2 8 2
Direct
0.051 0.051 0.699
0.301 0.301 0.949
0.699 0.699 0.051
0.949 0.949 0.301
0.375 0.375 0.375
0.625 0.625 0.625
0.020 0.338 0.440
0.298 0.560 0.662
0.338 0.020 0.702
0.440 0.702 0.020
0.560 0.298 0.980
0.662 0.980 0.298
0.702 0.440 0.338
0.980 0.662 0.560
0.125 0.125 0.125
0.875 0.875 0.875
```



[2]
A relaxed structure of ErSnO, computed with GGA-PBE.

## Properties
SG ... P3m1
DOS at the Fermi energy ... 0.62 states/eV per atom
Energy relative to the elements, uncorrected ... -41.71 kcal/mol of atoms
Total magnetic moment ... 0.38 μB per cell

Cell and atoms, written as POSCAR:
```
ErSnO
1.0
3.553 0.000 0.000
-1.777 3.077 0.000
0.000 0.000 6.753
Er Sn O
1 1 1
Direct
0.000 0.000 0.000
0.333 0.667 0.576
0.667 0.333 0.078
```



[3]
A relaxed structure of Pm3ThSn6, computed with GGA-PBE.

## Properties
Formation energy from the elements ... -0.442 eV per atom
SG ... P2_1/c
DOS at the Fermi energy ... 0.69 states/eV per atom
Total magnetic moment ... 0.00 μB per cell

Cell and atoms, written as POSCAR:
```
Pm3ThSn6
1.0
7.408 0.000 0.000
0.000 9.615 0.000
-6.626 0.000 8.278
Pm Th Sn
6 2 12
Direct
0.000 0.000 0.000
0.000 0.500 0.500
0.271 0.101 0.805
0.271 0.399 0.305
0.729 0.601 0.695
0.729 0.899 0.195
0.500 0.000 0.500
0.500 0.500 0.000
0.064 0.167 0.436
0.064 0.333 0.936
0.211 0.726 0.417
0.211 0.774 0.917
0.498 0.683 0.293
0.498 0.817 0.793
0.502 0.183 0.207
0.502 0.317 0.707
0.789 0.226 0.083
0.789 0.274 0.583
0.936 0.667 0.064
0.936 0.833 0.564
```



Number 1: E -3.25 eV per atom. Number 2: E -6.32 eV per atom. Number 3: E -5.01 eV per atom.